Entry from Alexandria via LeMat-Bulk: a relaxed structure of Tc3PtO (PBE).

Cell: 4.9401 4.9401 4.9401 Å, 90.00 90.00 90.00°
Last column: nearest neighbours and their distance in Å.
Fractional positions:
1 Tc 0.0000 0.5000 0.0000  2 Pt 2.47
2 Tc 0.0000 0.0000 0.5000  2 Pt 2.47
3 Tc 0.5000 0.0000 0.0000  2 Pt 2.47
4 O 0.5000 0.5000 0.5000  12 Tc 3.49
5 Pt 0.0000 0.0000 0.0000  6 Tc 2.47

Values from the calculation:
Offset from the most stable computed form   2.462 eV per atom
Theoretical density   6.96 g/cm³